No. 1
The following is a DFT calculation (GGA-PBE) of an optimized crystal structure of Mn3SbMo.

Summary:
Space group = Pm-3m (221)
Relative energy among the computed polymorphs = 0 meV/atom
Crystal system = cubic
Raw formation energy = 1129 meV per atom
Size of the total moment = 1.55 μB/atom

Structure (POSCAR):
```
Mn3SbMo
1.0
-2.200 4.054 0.373
-3.937 -2.227 0.976
1.034 0.147 4.508
Mo Mn Sb
1 3 1
direct
0.000 0.000 0.000 Mo
0.000 0.500 0.000 Mn
0.500 0.000 0.000 Mn
0.000 0.000 0.500 Mn
0.500 0.500 0.500 Sb
```



No. 2
The following is a DFT calculation (GGA-PBE) of an optimized crystal structure of Li5TlIrN2.

Summary:
Space group = P4/mmm (123)
Crystal system = tetragonal
Raw formation energy = -218 meV per atom
Size of the total moment = 0.00 μB/atom

Structure (POSCAR):
```
Li5TlIrN2
1.0
-4.067 1.240 0.131
-0.144 -0.914 4.152
2.262 7.243 1.673
Li Tl N Ir
5 1 2 1
direct
0.000 0.500 0.789 Li
0.000 0.500 0.211 Li
0.000 0.000 0.500 Li
0.500 0.000 0.789 Li
0.500 0.000 0.211 Li
0.500 0.500 0.500 Tl
0.000 0.000 0.239 N
0.000 0.000 0.761 N
0.000 0.000 0.000 Ir
```



Number 1 is which compound?
Mn3SbMo